[1]
The following is a PBE calculation of a geometry-optimized Dy2IBrO2 structure, from the Open Quantum Materials Database.

abc: 3.8747 3.8747 8.6443
angles: 90.00 90.00 90.00
Positions (direct):
Br1 0.0000 0.0000 0.1774
Dy1 0.5000 0.5000 0.3649
Dy2 0.0000 0.0000 0.6242
I1 0.5000 0.5000 0.8433
O1 0.5000 0.0000 0.4951
O2 0.0000 0.5000 0.4951

Summary:
- electronic total energy (eV/f.u.) = -39.2
- space group = No. 99
- magnetic moment (μB/f.u.) = 0.0

***

[2]
The following is a PBE calculation of a geometry-optimized Dy2Y2I5N structure, from the Open Quantum Materials Database.

abc: 9.6816 9.6816 8.5184
angles: 102.39 102.39 23.31
Positions (direct):
Dy1 0.9995 0.9995 0.1884
Dy2 0.0005 0.0005 0.8116
I1 0.8337 0.8337 0.1812
I2 0.1628 0.1628 0.3417
I3 0.5000 0.5000 0.5000
I4 0.8372 0.8372 0.6583
I5 0.1663 0.1663 0.8188
N1 0.5000 0.5000 0.0000
Y1 0.6261 0.6261 0.0621
Y2 0.3739 0.3739 0.9379

Summary:
- electronic total energy (eV/f.u.) = -50.8
- space group = No. 12
- magnetic moment (μB/f.u.) = 0.0

***

[3]
The following is a PBE calculation of a geometry-optimized ZrFeBMo structure, from the Open Quantum Materials Database.

abc: 4.2746 4.2746 4.2746
angles: 60.00 60.00 60.00
Positions (direct):
B1 0.0000 0.0000 0.0000
Fe1 0.7500 0.7500 0.7500
Mo1 0.5000 0.5000 0.5000
Zr1 0.2500 0.2500 0.2500

Summary:
- space group = No. 216
- magnetic moment (μB/f.u.) = 1.2
- excess energy over the best structure of this formula in the dataset (meV/atom) = 59

***

[4]
The following is a PBE calculation of a geometry-optimized PrGePO structure, from the Open Quantum Materials Database.

abc: 5.5646 5.5646 4.8457
angles: 90.00 90.00 90.00
Positions (direct):
Ge1 0.2500 0.2500 0.0117
Ge2 0.7500 0.7500 0.9883
O1 0.7500 0.2500 0.0000
O2 0.2500 0.7500 0.0000
P1 0.7500 0.7500 0.4823
P2 0.2500 0.2500 0.5177
Pr1 0.7500 0.2500 0.5000
Pr2 0.2500 0.7500 0.5000

Summary:
- space group = No. 129
- magnetic moment (μB/f.u.) = 0.0
- excess energy over the best structure of this formula in the dataset (meV/atom) = 450

***

[5]
The following is a PBE calculation of a geometry-optimized SrCuB4 structure, from the Open Quantum Materials Database.

abc: 3.1652 3.1652 7.2862
angles: 90.00 90.00 120.00
Positions (direct):
B1 0.6667 0.3333 0.2995
B2 0.3333 0.6667 0.2995
B3 0.6667 0.3333 0.7005
B4 0.3333 0.6667 0.7005
Cu1 0.0000 0.0000 0.5000
Sr1 0.0000 0.0000 0.0000

Summary:
- space group = No. 191
- excess energy over the best structure of this formula in the dataset (meV/atom) = 0

***

[6]
The following is a PBE calculation of a geometry-optimized SmHoCuSi3 structure, from the Open Quantum Materials Database.

abc: 8.0662 8.0215 5.7342
angles: 69.54 68.70 41.76
Positions (direct):
Cu1 0.6673 0.6673 0.3327
Cu2 0.3327 0.3327 0.6673
Ho1 0.2500 0.2500 0.2500
Ho2 0.7500 0.7500 0.7500
Si1 0.8302 0.8302 0.1698
Si2 0.8300 0.3406 0.1700
Si3 0.6594 0.1700 0.3406
Si4 0.3406 0.8300 0.6594
Si5 0.1700 0.6594 0.8300
Si6 0.1698 0.1698 0.8302
Sm1 0.2435 0.7565 0.2435
Sm2 0.7565 0.2435 0.7565

Summary:
- space group = No. 69
- magnetic moment (μB/f.u.) = 0.0
- excess energy over the best structure of this formula in the dataset (meV/atom) = 0